No. 1
The following is a DFT calculation (PBE-GGA) of a geometry-optimized ErTmCoRh structure.

Lattice parameters (Å, degrees): 3.326 3.326 6.766 90.00 90.00 90.00
Positions (direct):
Er (0.000, 0.000, 0.000)
Tm (0.000, 0.000, 0.486)
Co (0.500, 0.500, 0.244)
Rh (0.500, 0.500, 0.741)

Computed properties:
* energy: -6.456 eV per atom
* space group: P4mm, No. 99
* polymorph energy (0 for the lowest one): 0.000 eV per atom



No. 2
The following is a DFT calculation (PBE-GGA) of a geometry-optimized ErZnCoRh structure.

Lattice parameters (Å, degrees): 4.462 4.462 4.462 60.00 60.00 60.00
Positions (direct):
Er (0.000, 0.000, 0.000)
Zn (0.500, 0.500, 0.500)
Co (0.250, 0.250, 0.250)
Rh (0.750, 0.750, 0.750)

Computed properties:
* energy: -5.426 eV per atom
* space group: F-43m, No. 216



No. 3
The following is a DFT calculation (PBE-GGA) of a geometry-optimized Er6CoRu structure.

Lattice parameters (Å, degrees): 6.295 6.295 6.538 99.13 99.13 117.20
Positions (direct):
Er (0.069, 0.410, 0.248)
Er (0.250, 0.250, 0.758)
Er (0.410, 0.069, 0.248)
Er (0.590, 0.931, 0.752)
Er (0.750, 0.750, 0.242)
Er (0.931, 0.590, 0.752)
Co (0.000, 0.000, 0.000)
Ru (0.500, 0.500, 0.500)

Computed properties:
* energy: -5.631 eV per atom
* space group: C2/m, No. 12



No. 4
The following is a DFT calculation (PBE-GGA) of a geometry-optimized Er6Co2Ru structure.

Lattice parameters (Å, degrees): 8.079 8.079 8.079 110.18 110.05 108.20
Positions (direct):
Er (0.014, 0.828, 0.186)
Er (0.259, 0.324, 0.583)
Er (0.259, 0.676, 0.935)
Er (0.262, 0.575, 0.314)
Er (0.262, 0.948, 0.686)
Er (0.358, 0.172, 0.186)
Er (0.642, 0.828, 0.814)
Er (0.738, 0.052, 0.314)
Er (0.738, 0.425, 0.686)
Er (0.741, 0.324, 0.065)
Er (0.741, 0.676, 0.417)
Er (0.986, 0.172, 0.814)
Co (0.000, 0.163, 0.163)
Co (0.000, 0.837, 0.837)
Co (0.386, 0.386, 0.000)
Co (0.614, 0.614, 0.000)
Ru (0.000, 0.500, 0.500)
Ru (0.500, 0.000, 0.500)

Computed properties:
* energy: -5.907 eV per atom
* space group: Immm, No. 71
* polymorph energy (0 for the lowest one): 0.000 eV per atom



No. 5
The following is a DFT calculation (PBE-GGA) of a geometry-optimized Er4Co2Ru structure.

Lattice parameters (Å, degrees): 5.721 5.721 8.307 123.33 123.33 42.86
Positions (direct):
Er (0.088, 0.088, 0.378)
Er (0.306, 0.306, 0.903)
Er (0.694, 0.694, 0.097)
Er (0.912, 0.912, 0.622)
Co (0.370, 0.370, 0.367)
Co (0.630, 0.630, 0.633)
Ru (0.000, 0.000, 0.000)

Computed properties:
* energy: -6.204 eV per atom
* space group: C2/m, No. 12



No. 6
The following is a DFT calculation (PBE-GGA) of a geometry-optimized Er3CoRu structure.

Lattice parameters (Å, degrees): 8.027 6.159 9.720 90.00 114.49 90.00
Positions (direct):
Er (0.142, 0.000, 0.297)
Er (0.142, 0.500, 0.797)
Er (0.278, 0.004, 0.007)
Er (0.278, 0.496, 0.507)
Er (0.330, 0.513, 0.181)
Er (0.330, 0.987, 0.681)
Er (0.670, 0.013, 0.319)
Er (0.670, 0.487, 0.819)
Er (0.722, 0.504, 0.493)
Er (0.722, 0.996, 0.993)
Er (0.858, 0.000, 0.703)
Er (0.858, 0.500, 0.203)
Co (0.482, 0.679, 0.968)
Co (0.482, 0.821, 0.468)
Co (0.518, 0.179, 0.532)
Co (0.518, 0.321, 0.032)
Ru (0.001, 0.233, 0.505)
Ru (0.001, 0.267, 0.005)
Ru (0.999, 0.733, 0.995)
Ru (0.999, 0.767, 0.495)

Computed properties:
* energy: -6.294 eV per atom
* space group: P2_1/c, No. 14
* polymorph energy (0 for the lowest one): 0.004 eV per atom



No. 7
The following is a DFT calculation (PBE-GGA) of a geometry-optimized ErCoRu structure.

Lattice parameters (Å, degrees): 6.602 6.602 4.013 90.00 90.00 120.00
Positions (direct):
Er (0.000, 0.593, 0.000)
Er (0.407, 0.407, 0.000)
Er (0.593, 0.000, 0.000)
Co (0.000, 0.000, 0.000)
Co (0.333, 0.667, 0.500)
Co (0.667, 0.333, 0.500)
Ru (0.000, 0.249, 0.500)
Ru (0.249, 0.000, 0.500)
Ru (0.751, 0.751, 0.500)

Computed properties:
* energy: -7.134 eV per atom
* space group: P-62m, No. 189
* polymorph energy (0 for the lowest one): 0.145 eV per atom



No. 8
The following is a DFT calculation (PBE-GGA) of a geometry-optimized Er8Co2Ru structure.

Lattice parameters (Å, degrees): 7.368 7.368 5.733 100.01 100.01 113.71
Positions (direct):
Er (0.000, 0.000, 0.000)
Er (0.027, 0.285, 0.597)
Er (0.149, 0.580, 0.188)
Er (0.285, 0.027, 0.597)
Er (0.438, 0.697, 0.786)
Er (0.580, 0.149, 0.188)
Er (0.697, 0.438, 0.786)
Er (0.723, 0.723, 0.370)
Co (0.051, 0.667, 0.683)
Co (0.667, 0.051, 0.683)
Ru (0.362, 0.362, 0.093)

Computed properties:
* energy: -5.588 eV per atom
* space group: Cm, No. 8
* polymorph energy (0 for the lowest one): 0.057 eV per atom



Across the entries above, formation energy takes the values -2.333 -1.409 -1.286 -2.301 -1.690 -1.402 -0.456 -1.476 eV per formula unit, respectively.